Sr3MoCl2F6 | GGA+U | optimized geometry

Results
spin magnetization	2.00	μB/cell
uncorrected energy	-5.13	eV/atom

abc: 5.2845 7.4288 7.6557
angles: 119.02 83.05 90.00
With the nearest neighbours (Å) after each atom.
Fractional coordinates of all 12 atoms:
F  0.6946  0.3231  0.1370  1 Mo 2.40, 2 Sr 2.50-2.52
Sr  0.5000  0.5000  0.5000  4 F 2.39-2.50
Cl  0.1274  0.6989  0.3978  3 Sr 2.84-2.86, 1 F 2.93
Mo  0.5000  0.0000  0.0000  6 F 2.19-2.40
Sr  0.5000  0.0000  0.5000  4 F 2.39-2.50
F  0.3054  0.1860  0.8630  1 Mo 2.40, 2 Sr 2.50-2.52
F  0.3522  0.1615  0.3230  1 Mo 2.19, 2 Sr 2.39
F  0.6946  0.8140  0.1370  1 Mo 2.40, 2 Sr 2.50-2.52
F  0.6478  0.8385  0.6770  1 Mo 2.19, 2 Sr 2.39
F  0.3054  0.6769  0.8630  1 Mo 2.40, 2 Sr 2.50-2.52
Sr  0.0000  0.5000  0.0000  4 F 2.52
Cl  0.8726  0.3011  0.6022  3 Sr 2.84-2.86, 1 F 2.93